Record 1
# HfTlPb2 (PBE, relaxed)
# Calculated formation energy, eV/atom: 0.07
# DOS(E_F), states/eV/cell: 2.53
# Volume, Å³ per cell: 111.34
# Polymorph energy (0 for the lowest one), meV per atom: 0
# Crystal system: tetragonal
# Total magnetization, μB/atom: 0.00
# Final energy, eV/atom: -4.86
data_HfTlPb2
_cell_length_a 3.3386
_cell_length_b 3.3386
_cell_length_c 9.9887
_cell_angle_alpha 90.00
_cell_angle_beta 90.00
_cell_angle_gamma 90.00
_symmetry_space_group_name_H-M 'P 4/m m m'
_symmetry_Int_Tables_number 123
_symmetry_space_group_name_Hall '-P 4 2'
loop_
_atom_site_label
_atom_site_fract_x
_atom_site_fract_y
_atom_site_fract_z
_atom_site_occupancy
Hf1 0.0000 0.0000 0.0000 1
Tl1 0.0000 0.0000 0.5000 1
Pb1 0.5000 0.5000 0.2228 1

***

Record 2
# KFeOs2 (PBE, relaxed)
# Calculated formation energy, eV/atom: 1.00
# DOS(E_F), states/eV/cell: 10.37
# Volume, Å³ per cell: 166.91
# Polymorph energy (0 for the lowest one), meV per atom: 243
# Crystal system: monoclinic
# Total magnetization, μB/atom: 0.58
# Final energy, eV/atom: -7.00
data_KFeOs2
_cell_length_a 9.5744
_cell_length_b 2.7284
_cell_length_c 6.5106
_cell_angle_alpha 90.00
_cell_angle_beta 101.08
_cell_angle_gamma 90.00
_symmetry_space_group_name_H-M 'C 1 2/m 1'
_symmetry_Int_Tables_number 12
_symmetry_space_group_name_Hall '-C 2y'
loop_
_atom_site_label
_atom_site_fract_x
_atom_site_fract_y
_atom_site_fract_z
_atom_site_occupancy
K1 0.0000 0.0000 0.0000 1
Fe1 0.0000 0.5000 0.5000 1
Os1 0.2116 0.0000 0.6395 1

***

Record 3
# Sr2ScTc (PBE, relaxed)
# Calculated formation energy, eV/atom: 0.45
# DOS(E_F), states/eV/cell: 7.70
# Volume, Å³ per cell: 247.64
# Polymorph energy (0 for the lowest one), meV per atom: 190
# Crystal system: orthorhombic
# Total magnetization, μB/atom: 0.00
# Final energy, eV/atom: -4.56
data_Sr2ScTc
_cell_length_a 4.3975
_cell_length_b 5.9395
_cell_length_c 9.4810
_cell_angle_alpha 90.00
_cell_angle_beta 90.00
_cell_angle_gamma 90.00
_symmetry_space_group_name_H-M 'I m m 2'
_symmetry_Int_Tables_number 44
_symmetry_space_group_name_Hall 'I 2 -2'
loop_
_atom_site_label
_atom_site_fract_x
_atom_site_fract_y
_atom_site_fract_z
_atom_site_occupancy
Sr1 0.0000 0.0000 0.0000 1
Sr2 0.0000 0.5000 0.1856 1
Sc1 0.0000 0.0000 0.3865 1
Tc1 0.0000 0.5000 0.7824 1

***

Record 4
# SrCa2Sn2 (PBE, relaxed)
# Calculated formation energy, eV/atom: -0.52
# DOS(E_F), states/eV/cell: 7.44
# Volume, Å³ per cell: 348.76
# Polymorph energy (0 for the lowest one), meV per atom: 39
# Crystal system: tetragonal
# Total magnetization, μB/atom: 0.00
# Final energy, eV/atom: -3.26
data_SrCa2Sn2
_cell_length_a 5.0455
_cell_length_b 5.0455
_cell_length_c 13.7003
_cell_angle_alpha 90.00
_cell_angle_beta 90.00
_cell_angle_gamma 90.00
_symmetry_space_group_name_H-M 'I 4/m m m'
_symmetry_Int_Tables_number 139
_symmetry_space_group_name_Hall '-I 4 2'
loop_
_atom_site_label
_atom_site_fract_x
_atom_site_fract_y
_atom_site_fract_z
_atom_site_occupancy
Sr1 0.0000 0.0000 0.0000 1
Ca1 0.0000 0.5000 0.2500 1
Sn1 0.0000 0.0000 0.3952 1